Material: MnAg2B
Method: DFT, PBE
State: optimized geometry Values from VASP.

```
&SYSTEM
  ibrav = 0, nat = 8, ntyp = 3
/
ATOMIC_SPECIES
B 10.81 B.upf
Ag 107.87 Ag.upf
Mn 54.94 Mn.upf
CELL_PARAMETERS angstrom
-2.805 0.240 2.337
-1.852 -2.466 -1.970
1.319 -7.910 5.261
ATOMIC_POSITIONS crystal
B 0.250 0.750 0.500
B 0.500 0.500 0.000
Ag 0.617 0.125 0.250
Ag 0.133 0.625 0.250
Ag 0.375 0.383 0.750
Ag 0.875 0.867 0.750
Mn 0.000 0.000 0.000
Mn 0.750 0.250 0.500
```

Calculated values
The calculation puts the energy relative to the elements at 3.73 eV/f.u. As for the space-group type: I-42d. As for the density of states at the Fermi level: 1.51 states/eV/f.u.

Material: MgIn2N2
Method: DFT, PBE
State: optimized geometry Values from VASP.

```
&SYSTEM
  ibrav = 0, nat = 5, ntyp = 3
/
ATOMIC_SPECIES
In 114.82 In.upf
N 14.01 N.upf
Mg 24.30 Mg.upf
CELL_PARAMETERS angstrom
-1.721 -0.909 4.042
0.675 -4.380 -0.698
4.326 -2.240 3.828
ATOMIC_POSITIONS crystal
In 0.250 0.750 0.500
In 0.750 0.250 0.500
N 0.812 0.812 0.375
N 0.188 0.188 0.625
Mg 0.000 0.000 0.000
```

Calculated values
The calculation puts the formation energy from raw total energies at 0.368 eV per atom. As for the space-group type: I4/mmm. Its energy above the most stable polymorph in this dataset is 533 meV/atom. As for the density of states at the Fermi level: 1.41 states/eV/f.u.

Material: LaPuTe3
Method: DFT, PBE
State: optimized geometry Values from VASP.

```
&SYSTEM
  ibrav = 0, nat = 20, ntyp = 3
/
ATOMIC_SPECIES
La 138.91 La.upf
Pu 244.00 Pu.upf
Te 127.60 Te.upf
CELL_PARAMETERS angstrom
-2.127 3.797 -1.214
-0.953 -3.011 -7.746
-15.194 -7.041 4.606
ATOMIC_POSITIONS crystal
La 0.750 0.369 0.702
La 0.750 0.869 0.798
La 0.250 0.631 0.298
La 0.250 0.131 0.202
Pu 0.750 0.227 0.460
Pu 0.750 0.727 0.040
Pu 0.250 0.273 0.960
Pu 0.250 0.773 0.540
Te 0.750 0.843 0.216
Te 0.750 0.343 0.284
Te 0.250 0.005 0.392
Te 0.250 0.657 0.716
Te 0.750 0.624 0.437
Te 0.750 0.495 0.892
Te 0.750 0.995 0.608
Te 0.250 0.157 0.784
Te 0.250 0.876 0.937
Te 0.250 0.505 0.108
Te 0.750 0.124 0.063
Te 0.250 0.376 0.563
```

Calculated values
The calculation puts the formation energy from raw total energies at -1.306 eV per atom. As for the space-group type: Pnma. As for the density of states at the Fermi level: 12.52 states/eV/f.u.

Material: Sc4In3Hg4
Method: DFT, PBE
State: optimized geometry Values from VASP.

```
&SYSTEM
  ibrav = 0, nat = 11, ntyp = 3
/
ATOMIC_SPECIES
Sc 44.96 Sc.upf
In 114.82 In.upf
Hg 200.59 Hg.upf
CELL_PARAMETERS angstrom
-1.057 1.325 -2.955
0.986 -8.209 -4.033
-8.074 1.475 5.515
ATOMIC_POSITIONS crystal
Sc 0.743 0.243 0.486
Sc 0.257 0.757 0.514
Sc 0.500 0.225 0.000
Sc 0.500 0.775 0.000
In 0.903 0.903 0.807
In 0.097 0.097 0.193
In 0.000 0.500 0.000
Hg 0.335 0.132 0.670
Hg 0.665 0.462 0.330
Hg 0.335 0.538 0.670
Hg 0.665 0.868 0.330
```

Calculated values
The calculation puts the energy relative to the elements at -1.80 eV/f.u. As for the space-group type: Immm. As for the density of states at the Fermi level: 7.83 states/eV/f.u.

Material: Ca2AcZnN
Method: DFT, PBE
State: optimized geometry Values from VASP.

```
&SYSTEM
  ibrav = 0, nat = 10, ntyp = 4
/
ATOMIC_SPECIES
Zn 65.41 Zn.upf
N 14.01 N.upf
Ac 227.00 Ac.upf
Ca 40.08 Ca.upf
CELL_PARAMETERS angstrom
6.775 0.000 0.000
0.000 6.775 0.000
-3.388 -3.388 5.616
ATOMIC_POSITIONS crystal
Zn 0.255 0.755 0.510
Zn 0.755 0.255 0.510
N 0.019 0.019 0.038
N 0.519 0.519 0.038
Ac 0.235 0.235 0.471
Ac 0.735 0.735 0.471
Ca 0.205 0.285 0.991
Ca 0.285 0.785 0.991
Ca 0.785 0.705 0.991
Ca 0.705 0.205 0.991
```

Calculated values
The calculation puts the formation energy from raw total energies at -0.525 eV per atom. As for the space-group type: I4cm. As for the density of states at the Fermi level: 2.87 states/eV/f.u.

Material: Sr2CaInCu
Method: DFT, PBE
State: optimized geometry Values from VASP.

```
&SYSTEM
  ibrav = 0, nat = 5, ntyp = 4
/
ATOMIC_SPECIES
Sr 87.62 Sr.upf
In 114.82 In.upf
Ca 40.08 Ca.upf
Cu 63.55 Cu.upf
CELL_PARAMETERS angstrom
5.959 0.000 0.000
0.000 5.959 0.000
0.000 0.000 5.053
ATOMIC_POSITIONS crystal
Sr 0.500 0.000 0.000
Sr 0.000 0.500 0.000
In 0.000 0.000 0.500
Ca 0.500 0.500 0.500
Cu 0.000 0.000 0.000
```

Calculated values
The calculation puts the energy relative to the elements at -0.38 eV/f.u. As for the space-group type: P4/mmm. As for the density of states at the Fermi level: 4.08 states/eV/f.u.

Material: Pm2Al5Ir3
Method: DFT, PBE
State: optimized geometry Values from VASP.

```
&SYSTEM
  ibrav = 0, nat = 20, ntyp = 3
/
ATOMIC_SPECIES
Al 26.98 Al.upf
Ir 192.22 Ir.upf
Pm 145.00 Pm.upf
CELL_PARAMETERS angstrom
4.245 0.000 -0.723
0.000 6.826 0.000
-0.001 0.000 12.816
ATOMIC_POSITIONS crystal
Al 0.600 0.902 0.200
Al 0.293 0.900 0.586
Al 0.400 0.402 0.800
Al 0.872 0.746 0.743
Al 0.056 0.605 0.113
Al 0.287 0.506 0.574
Al 0.128 0.246 0.257
Al 0.713 0.006 0.426
Al 0.944 0.105 0.887
Al 0.707 0.400 0.414
Ir 0.228 0.201 0.456
Ir 0.950 0.488 0.900
Ir 0.772 0.701 0.544
Ir 0.609 0.524 0.219
Ir 0.391 0.024 0.781
Ir 0.050 0.988 0.100
Pm 0.522 0.275 0.043
Pm 0.824 0.217 0.649
Pm 0.176 0.717 0.351
Pm 0.478 0.775 0.957
```

Calculated values
The calculation puts the energy relative to the elements at -7.82 eV/f.u. As for the space-group type: Cmc2_1. As for the density of states at the Fermi level: 5.24 states/eV/f.u.

Material: EuThBiPb
Method: DFT, PBE
State: optimized geometry Values from VASP.

```
&SYSTEM
  ibrav = 0, nat = 4, ntyp = 4
/
ATOMIC_SPECIES
Th 232.04 Th.upf
Pb 207.20 Pb.upf
Bi 208.98 Bi.upf
Eu 151.96 Eu.upf
CELL_PARAMETERS angstrom
5.630 0.000 0.000
2.815 4.876 0.000
2.815 1.625 4.597
ATOMIC_POSITIONS crystal
Th 0.500 0.500 0.500
Pb 0.250 0.250 0.250
Bi 0.750 0.750 0.750
Eu 0.000 0.000 0.000
```

Calculated values
The calculation puts the energy relative to the elements at -1.61 eV/f.u. As for the space-group type: F-43m. As for the density of states at the Fermi level: 5.19 states/eV/f.u.